Rb2PuTeS4 | PBE-GGA | optimized geometry

volume	269.3	Å³ per cell
raw formation energy	-637	kJ/mol of formula units

Cell lengths 7.0507, 7.0507, 7.0507 Å; angles 106.62, 110.91, 110.91 degrees
Last column: nearest neighbours and their distance in Å.
Atoms (fractional coordinates):
S  0.4423  0.8528  0.7222  1 Pu 2.62, 1 Te 2.67
S  0.8694  0.5895  0.1472  1 Pu 2.62, 1 Te 2.67
S  0.1306  0.2778  0.7201  1 Pu 2.62, 1 Te 2.67
S  0.5577  0.2799  0.4105  1 Pu 2.62, 1 Te 2.67
Te  0.0000  0.5000  0.5000  4 S 2.67
Pu  0.5000  0.2500  0.7500  4 S 2.62
Rb  0.5000  0.7500  0.2500  4 S 3.40
Rb  0.0000  0.0000  0.0000  4 S 3.29

LiYW3 | PBE-GGA | optimized geometry

distance to the lowest polymorph of the same formula	1514	meV per atom
volume	117.6	Å³ per cell
formation enthalpy at 0 K	1421	kJ/mol of formula units

Cell lengths 4.8989, 4.8989, 4.8989 Å; angles 90.00, 90.00, 90.00 degrees
Last column: nearest neighbours and their distance in Å.
Atoms (fractional coordinates):
Li  0.5000  0.5000  0.5000  12 W 3.46
W  0.0000  0.0000  0.5000  2 Y 2.45
W  0.5000  0.0000  0.0000  2 Y 2.45
W  0.0000  0.5000  0.0000  2 Y 2.45
Y  0.0000  0.0000  0.0000  6 W 2.45

Question: Look up the volume of the second one.
Answer: 117.6 Å³ per cell

Question: Which of these has the lowest volume?
Answer: LiYW3

Question: volume of number 1 (Rb2PuTeS4)?
Answer: 269.3 Å³ per cell

What did the first record say?
Rb2PuTeS4 | PBE-GGA | optimized geometry

volume	269.3	Å³ per cell
raw formation energy	-637	kJ/mol of formula units

Cell lengths 7.0507, 7.0507, 7.0507 Å; angles 106.62, 110.91, 110.91 degrees
Last column: nearest neighbours and their distance in Å.
Atoms (fractional coordinates):
S  0.4423  0.8528  0.7222  1 Pu 2.62, 1 Te 2.67
S  0.8694  0.5895  0.1472  1 Pu 2.62, 1 Te 2.67
S  0.1306  0.2778  0.7201  1 Pu 2.62, 1 Te 2.67
S  0.5577  0.2799  0.4105  1 Pu 2.62, 1 Te 2.67
Te  0.0000  0.5000  0.5000  4 S 2.67
Pu  0.5000  0.2500  0.7500  4 S 2.62
Rb  0.5000  0.7500  0.2500  4 S 3.40
Rb  0.0000  0.0000  0.0000  4 S 3.29